Material: SmMnO4
Method: DFT, PBE+U
State: relaxed

For the calculated volume, the calculation gives 82.1 Å³/f.u. The total moment comes out at 2.00 μB per formula unit. The final energy comes out at -7.237 eV/atom.

Cell lengths 4.177, 4.039, 5.027 Å; angles 90.00, 104.55, 90.00 degrees
Space group P2 (No. 3)
Inequivalent atoms, fractional coordinates:
Sm 0.000 0.000 0.000 [1 per cell]
Mn 0.500 0.668 0.500 [1 per cell]
O 0.167 0.487 0.272 [2 per cell]
O 0.384 0.938 0.724 [2 per cell]